Rb3Sn4Pt2: relaxed, PBE.

```
9
Lattice="7.262 -2.262 0.000 7.262 2.262 0.000 -3.855 0.000 9.096" Properties=species:S:1:pos:R:3 pbc="T T T"
Rb 0.000 0.000 0.000
Rb 2.967 0.000 5.564
Rb 7.701 0.000 3.533
Sn -1.435 0.000 5.960
Sn 0.618 0.000 8.337
Sn 10.050 0.000 0.759
Sn 12.104 0.000 3.137
Pt 4.017 0.000 1.937
Pt 6.651 0.000 7.159
```

Calculated values
The theoretical density comes out at 6.23 g/cm³. Its crystal system is monoclinic. The total magnetization is 0.00 μB per formula unit. Its energy of formation is -0.335 eV/atom.